Here is a relaxed structure of Pm4Ho3Tm8 from Alexandria via LeMat-Bulk. Energies are from PBE.

Computed properties:
- volume (Å³/cell) = 482
- relative energy among the computed polymorphs (meV per atom) = 0
- M_tot (μB/cell) = 0.00
- space group = R-3m, No. 166

Cell lengths 12.3634, 12.3634, 12.3634 Å; angles 32.39, 32.39, 32.39 degrees
Fractional coordinates of all 15 atoms:
Pm1 0.0000 0.0000 0.0000
Pm2 0.1634 0.1634 0.1634
Pm3 0.5000 0.5000 0.5000
Pm4 0.8366 0.8366 0.8366
Ho1 0.0000 0.5000 0.5000
Ho2 0.5000 0.0000 0.5000
Ho3 0.5000 0.5000 0.0000
Tm1 0.2499 0.2499 0.7470
Tm2 0.2499 0.7470 0.2499
Tm3 0.2530 0.7501 0.7501
Tm4 0.2553 0.2553 0.2553
Tm5 0.7447 0.7447 0.7447
Tm6 0.7470 0.2499 0.2499
Tm7 0.7501 0.2530 0.7501
Tm8 0.7501 0.7501 0.2530